[1]
A relaxed structure of InAg2Rh, computed with GGA-PBE.

a b c (Å): 4.9134 4.9134 5.0276
angles (deg): 77.60 77.60 37.03
Last column: nearest neighbours and their distance in Å.
Atoms (fractional coordinates):
In1 0.5067 0.5067 0.4689  3 Rh 2.73-2.80, 7 Ag 2.90-3.02
Ag1 0.9962 0.9962 0.9874  3 Ag 2.76-2.83, 3 Rh 2.89-3.02, 4 In 2.90-3.02
Ag2 0.7489 0.7489 0.7703  3 Ag 2.76-2.83, 4 Rh 2.95-2.97, 3 In 2.98-2.99
Rh1 0.2482 0.2482 0.2734  3 In 2.73-2.80, 7 Ag 2.89-3.02

Output
For the total magnetization, the calculation gives 0.00 Bohr magnetons per cell. As for the final energy: -0.2895 Ry per atom. The energy relative to the elements is 0.01 eV/atom. For the volume, the calculation gives 71.2 Å³ per cell.

[2]
A relaxed structure of InAg2Rh, computed with GGA-PBE.

a b c (Å): 3.8198 3.0877 5.9944
angles (deg): 89.99 90.00 90.00
Last column: nearest neighbours and their distance in Å.
Atoms (fractional coordinates):
In1 0.0000 0.0002 0.5262  4 Rh 2.76, 5 Ag 2.84-3.00
Ag1 0.0000 0.0000 0.0005  6 Ag 2.84-3.09, 2 In 2.84-3.15, 4 Rh 2.93
Ag2 0.5000 0.4999 0.2382  6 Ag 2.84-3.09, 2 Rh 2.98-3.02, 4 In 3.00
Rh1 0.5000 0.5000 0.7351  4 In 2.76, 6 Ag 2.93-3.02

Output
For the total magnetization, the calculation gives 0.00 Bohr magnetons per cell. As for the final energy: -0.2936 Ry per atom. The energy relative to the elements is -0.05 eV/atom. For the volume, the calculation gives 70.7 Å³ per cell.

[3]
A relaxed structure of InAgRh4, computed with GGA-PBE.

a b c (Å): 5.1960 5.1960 5.1960
angles (deg): 60.00 60.00 60.00
Last column: nearest neighbours and their distance in Å.
Atoms (fractional coordinates):
In1 0.0000 0.0000 0.0000  12 Rh 3.05, 4 Ag 3.18
Ag1 0.7500 0.7500 0.7500  12 Rh 3.05, 4 In 3.18
Rh1 0.8748 0.3751 0.3751  6 Rh 2.60
Rh2 0.3751 0.3751 0.8748  6 Rh 2.60
Rh3 0.3751 0.8748 0.3751  6 Rh 2.60
Rh4 0.3751 0.3751 0.3751  6 Rh 2.60

Output
For the total magnetization, the calculation gives 0.41 Bohr magnetons per cell. As for the final energy: -0.4188 Ry per atom. The energy relative to the elements is 0.13 eV/atom. For the volume, the calculation gives 99.2 Å³ per cell.